SmTm2UO8 | PBE | relaxed

Cell: 3.8731 5.2671 7.5624 Å, 90.00 90.00 90.00°
Closest atoms and distances in Å follow each position.
Positions (direct):
Sm1 0.0000 0.0000 0.0000  8 O 2.39-2.44
Tm1 0.5000 0.5000 0.2574  8 O 2.30-2.36
Tm2 0.5000 0.5000 0.7426  8 O 2.30-2.36
U1 0.0000 0.0000 0.5000  8 O 2.14-2.30
O1 0.0000 0.2460 0.2740  1 U 2.14, 2 Tm 2.36
O2 0.0000 0.2460 0.7260  1 U 2.14, 2 Tm 2.36
O3 0.0000 0.7540 0.2740  1 U 2.14, 2 Tm 2.36
O4 0.0000 0.7540 0.7260  1 U 2.14, 2 Tm 2.36
O5 0.5000 0.2358 0.5000  2 U 2.30, 2 Tm 2.30, 1 O 2.48
O6 0.5000 0.2659 0.0000  2 Tm 2.30, 2 Sm 2.39, 1 O 2.47
O7 0.5000 0.7341 0.0000  2 Tm 2.30, 2 Sm 2.39, 1 O 2.47
O8 0.5000 0.7642 0.5000  2 U 2.30, 2 Tm 2.30, 1 O 2.48

Properties
- spin magnetization (μB per cell) = 0.79
- DOS at the Fermi energy (states/eV/f.u.) = 4.0
- DFT total energy (eV per atom) = -8.67